Entry 1:
# CaLa3Y8 (PBE-GGA, optimized geometry)
data_CaLa3Y8
_chemical_formula_sum 'Ca1 La3 Y8'
_symmetry_space_group_name_H-M 'P 1'
_symmetry_Int_Tables_number 1
_cell_length_a 8.625
_cell_length_b 8.625
_cell_length_c 8.625
_cell_angle_alpha 118.32
_cell_angle_beta 118.32
_cell_angle_gamma 92.93
loop_
_symmetry_equiv_pos_as_xyz
'x,y,z'
loop_
_atom_site_label
_atom_site_type_symbol
_atom_site_fract_x
_atom_site_fract_y
_atom_site_fract_z
Ca1 Ca 0.000 0.000 0.000
La1 La 0.250 0.750 0.500
La2 La 0.500 0.500 0.000
La3 La 0.750 0.250 0.500
Y1 Y 0.140 0.140 0.732
Y2 Y 0.227 0.689 0.000
Y3 Y 0.311 0.311 0.537
Y4 Y 0.407 0.407 0.268
Y5 Y 0.593 0.860 0.000
Y6 Y 0.689 0.227 0.000
Y7 Y 0.773 0.773 0.463
Y8 Y 0.860 0.593 0.000
# Space group: I-42m
# Magnetic moment (μB/f.u.): 0.01
# DOS at the Fermi energy (states/eV/atom): 1.667
# Total energy (eV/atom): -5.0772
# Volume (Å³/cell): 464.58

Entry 2:
# CaLaY3 (PBE-GGA, optimized geometry)
data_CaLaY3
_chemical_formula_sum 'Ca2 La2 Y6'
_symmetry_space_group_name_H-M 'P 1'
_symmetry_Int_Tables_number 1
_cell_length_a 9.827
_cell_length_b 9.827
_cell_length_c 9.827
_cell_angle_alpha 41.41
_cell_angle_beta 41.41
_cell_angle_gamma 41.41
loop_
_symmetry_equiv_pos_as_xyz
'x,y,z'
loop_
_atom_site_label
_atom_site_type_symbol
_atom_site_fract_x
_atom_site_fract_y
_atom_site_fract_z
Ca1 Ca 0.167 0.167 0.167
Ca2 Ca 0.833 0.833 0.833
La1 La 0.415 0.415 0.415
La2 La 0.585 0.585 0.585
Y1 Y 0.121 0.121 0.613
Y2 Y 0.121 0.613 0.121
Y3 Y 0.387 0.879 0.879
Y4 Y 0.613 0.121 0.121
Y5 Y 0.879 0.387 0.879
Y6 Y 0.879 0.879 0.387
# Space group: R-3m
# Magnetic moment (μB/f.u.): 0.00
# Distance to the lowest polymorph of the same formula (meV/atom): 0
# DOS at the Fermi energy (states/eV/atom): 1.498
# Total energy (eV/atom): -5.0912
# Volume (Å³/cell): 375.13

Entry 3:
# CaLaY3 (PBE-GGA, optimized geometry)
data_CaLaY3
_chemical_formula_sum 'Ca1 La1 Y3'
_symmetry_space_group_name_H-M 'P 1'
_symmetry_Int_Tables_number 1
_cell_length_a 5.730
_cell_length_b 5.730
_cell_length_c 5.730
_cell_angle_alpha 90.00
_cell_angle_beta 90.00
_cell_angle_gamma 90.00
loop_
_symmetry_equiv_pos_as_xyz
'x,y,z'
loop_
_atom_site_label
_atom_site_type_symbol
_atom_site_fract_x
_atom_site_fract_y
_atom_site_fract_z
Ca1 Ca 0.000 0.000 0.000
La1 La 0.500 0.500 0.500
Y1 Y 0.000 0.000 0.500
Y2 Y 0.000 0.500 0.000
Y3 Y 0.500 0.000 0.000
# Space group: Pm-3m
# Magnetic moment (μB/f.u.): 0.00
# Distance to the lowest polymorph of the same formula (meV/atom): 567
# DOS at the Fermi energy (states/eV/atom): 1.137
# Total energy (eV/atom): -4.5239
# Volume (Å³/cell): 188.12

Entry 4:
# Ca2LaY (PBE-GGA, optimized geometry)
data_Ca2LaY
_chemical_formula_sum 'Ca8 La4 Y4'
_symmetry_space_group_name_H-M 'P 1'
_symmetry_Int_Tables_number 1
_cell_length_a 8.436
_cell_length_b 8.436
_cell_length_c 8.436
_cell_angle_alpha 90.00
_cell_angle_beta 90.00
_cell_angle_gamma 90.00
loop_
_symmetry_equiv_pos_as_xyz
'x,y,z'
loop_
_atom_site_label
_atom_site_type_symbol
_atom_site_fract_x
_atom_site_fract_y
_atom_site_fract_z
Ca1 Ca 0.250 0.250 0.250
Ca2 Ca 0.250 0.250 0.750
Ca3 Ca 0.250 0.750 0.250
Ca4 Ca 0.250 0.750 0.750
Ca5 Ca 0.750 0.250 0.250
Ca6 Ca 0.750 0.250 0.750
Ca7 Ca 0.750 0.750 0.250
Ca8 Ca 0.750 0.750 0.750
La1 La 0.000 0.000 0.000
La2 La 0.000 0.500 0.500
La3 La 0.500 0.000 0.500
La4 La 0.500 0.500 0.000
Y1 Y 0.000 0.000 0.500
Y2 Y 0.000 0.500 0.000
Y3 Y 0.500 0.000 0.000
Y4 Y 0.500 0.500 0.500
# Space group: Fm-3m
# Magnetic moment (μB/f.u.): 0.00
# Distance to the lowest polymorph of the same formula (meV/atom): 88
# DOS at the Fermi energy (states/eV/atom): 1.276
# Total energy (eV/atom): -3.7187
# Volume (Å³/cell): 600.45

Entry 5:
# CaLa12Y3 (PBE-GGA, optimized geometry)
data_CaLa12Y3
_chemical_formula_sum 'Ca1 La12 Y3'
_symmetry_space_group_name_H-M 'P 1'
_symmetry_Int_Tables_number 1
_cell_length_a 5.250
_cell_length_b 5.250
_cell_length_c 21.014
_cell_angle_alpha 90.00
_cell_angle_beta 90.00
_cell_angle_gamma 90.00
loop_
_symmetry_equiv_pos_as_xyz
'x,y,z'
loop_
_atom_site_label
_atom_site_type_symbol
_atom_site_fract_x
_atom_site_fract_y
_atom_site_fract_z
Ca1 Ca 0.000 0.000 0.000
La1 La 0.000 0.500 0.129
La2 La 0.000 0.500 0.376
La3 La 0.000 0.500 0.624
La4 La 0.000 0.500 0.871
La5 La 0.500 0.000 0.129
La6 La 0.500 0.000 0.376
La7 La 0.500 0.000 0.624
La8 La 0.500 0.000 0.871
La9 La 0.500 0.500 0.000
La10 La 0.500 0.500 0.251
La11 La 0.500 0.500 0.500
La12 La 0.500 0.500 0.749
Y1 Y 0.000 0.000 0.252
Y2 Y 0.000 0.000 0.500
Y3 Y 0.000 0.000 0.748
# Space group: P4/mmm
# Magnetic moment (μB/f.u.): 0.00
# DOS at the Fermi energy (states/eV/atom): 1.392
# Total energy (eV/atom): -5.0139
# Volume (Å³/cell): 579.19

Entry 6:
# CaLa5Y4 (PBE-GGA, optimized geometry)
data_CaLa5Y4
_chemical_formula_sum 'Ca1 La5 Y4'
_symmetry_space_group_name_H-M 'P 1'
_symmetry_Int_Tables_number 1
_cell_length_a 3.717
_cell_length_b 3.717
_cell_length_c 25.917
_cell_angle_alpha 90.00
_cell_angle_beta 90.00
_cell_angle_gamma 90.00
loop_
_symmetry_equiv_pos_as_xyz
'x,y,z'
loop_
_atom_site_label
_atom_site_type_symbol
_atom_site_fract_x
_atom_site_fract_y
_atom_site_fract_z
Ca1 Ca 0.000 0.000 0.000
La1 La 0.500 0.500 0.110
La2 La 0.500 0.500 0.305
La3 La 0.500 0.500 0.500
La4 La 0.500 0.500 0.695
La5 La 0.500 0.500 0.890
Y1 Y 0.000 0.000 0.206
Y2 Y 0.000 0.000 0.402
Y3 Y 0.000 0.000 0.598
Y4 Y 0.000 0.000 0.794
# Space group: P4/mmm
# Magnetic moment (μB/f.u.): 0.00
# DOS at the Fermi energy (states/eV/atom): 1.819
# Total energy (eV/atom): -5.2150
# Volume (Å³/cell): 358.06

Entry 7:
# Ca5La3Y12 (PBE-GGA, optimized geometry)
data_Ca5La3Y12
_chemical_formula_sum 'Ca20 La12 Y48'
_symmetry_space_group_name_H-M 'P 1'
_symmetry_Int_Tables_number 1
_cell_length_a 17.116
_cell_length_b 17.116
_cell_length_c 17.116
_cell_angle_alpha 109.47
_cell_angle_beta 109.47
_cell_angle_gamma 109.47
loop_
_symmetry_equiv_pos_as_xyz
'x,y,z'
loop_
_atom_site_label
_atom_site_type_symbol
_atom_site_fract_x
_atom_site_fract_y
_atom_site_fract_z
Ca1 Ca 0.000 0.000 0.000
Ca2 Ca 0.000 0.000 0.500
Ca3 Ca 0.000 0.500 0.000
Ca4 Ca 0.000 0.500 0.500
Ca5 Ca 0.125 0.750 0.875
Ca6 Ca 0.125 0.875 0.250
Ca7 Ca 0.250 0.125 0.875
Ca8 Ca 0.250 0.625 0.375
Ca9 Ca 0.375 0.250 0.625
Ca10 Ca 0.375 0.625 0.750
Ca11 Ca 0.500 0.000 0.000
Ca12 Ca 0.500 0.000 0.500
Ca13 Ca 0.500 0.500 0.000
Ca14 Ca 0.500 0.500 0.500
Ca15 Ca 0.625 0.375 0.250
Ca16 Ca 0.625 0.750 0.375
Ca17 Ca 0.750 0.375 0.625
Ca18 Ca 0.750 0.875 0.125
Ca19 Ca 0.875 0.125 0.750
Ca20 Ca 0.875 0.250 0.125
La1 La 0.125 0.250 0.375
La2 La 0.125 0.375 0.750
La3 La 0.250 0.375 0.125
La4 La 0.250 0.875 0.625
La5 La 0.375 0.125 0.250
La6 La 0.375 0.750 0.125
La7 La 0.625 0.250 0.875
La8 La 0.625 0.875 0.750
La9 La 0.750 0.125 0.375
La10 La 0.750 0.625 0.875
La11 La 0.875 0.625 0.250
La12 La 0.875 0.750 0.625
Y1 Y 0.064 0.649 0.420
Y2 Y 0.064 0.916 0.644
Y3 Y 0.080 0.728 0.644
Y4 Y 0.080 0.851 0.436
Y5 Y 0.084 0.228 0.149
Y6 Y 0.084 0.356 0.936
Y7 Y 0.144 0.228 0.580
Y8 Y 0.144 0.416 0.564
Y9 Y 0.149 0.084 0.228
Y10 Y 0.149 0.564 0.920
Y11 Y 0.228 0.149 0.084
Y12 Y 0.228 0.580 0.144
Y13 Y 0.272 0.356 0.920
Y14 Y 0.272 0.416 0.351
Y15 Y 0.351 0.272 0.416
Y16 Y 0.351 0.580 0.936
Y17 Y 0.356 0.920 0.272
Y18 Y 0.356 0.936 0.084
Y19 Y 0.416 0.351 0.272
Y20 Y 0.416 0.564 0.144
Y21 Y 0.420 0.064 0.649
Y22 Y 0.420 0.856 0.772
Y23 Y 0.436 0.080 0.851
Y24 Y 0.436 0.856 0.584
Y25 Y 0.564 0.144 0.416
Y26 Y 0.564 0.920 0.149
Y27 Y 0.580 0.144 0.228
Y28 Y 0.580 0.936 0.351
Y29 Y 0.584 0.436 0.856
Y30 Y 0.584 0.649 0.728
Y31 Y 0.644 0.064 0.916
Y32 Y 0.644 0.080 0.728
Y33 Y 0.649 0.420 0.064
Y34 Y 0.649 0.728 0.584
Y35 Y 0.728 0.584 0.649
Y36 Y 0.728 0.644 0.080
Y37 Y 0.772 0.420 0.856
Y38 Y 0.772 0.851 0.916
Y39 Y 0.851 0.436 0.080
Y40 Y 0.851 0.916 0.772
Y41 Y 0.856 0.584 0.436
Y42 Y 0.856 0.772 0.420
Y43 Y 0.916 0.644 0.064
Y44 Y 0.916 0.772 0.851
Y45 Y 0.920 0.149 0.564
Y46 Y 0.920 0.272 0.356
Y47 Y 0.936 0.084 0.356
Y48 Y 0.936 0.351 0.580
# Space group: Ia-3d
# Magnetic moment (μB/f.u.): 0.10
# DOS at the Fermi energy (states/eV/atom): 1.963
# Total energy (eV/atom): -4.1931
# Volume (Å³/cell): 3859.86

Entry 8:
# CaLa2Y (PBE-GGA, optimized geometry)
data_CaLa2Y
_chemical_formula_sum 'Ca2 La4 Y2'
_symmetry_space_group_name_H-M 'P 1'
_symmetry_Int_Tables_number 1
_cell_length_a 3.936
_cell_length_b 6.041
_cell_length_c 12.489
_cell_angle_alpha 90.00
_cell_angle_beta 90.00
_cell_angle_gamma 90.00
loop_
_symmetry_equiv_pos_as_xyz
'x,y,z'
loop_
_atom_site_label
_atom_site_type_symbol
_atom_site_fract_x
_atom_site_fract_y
_atom_site_fract_z
Ca1 Ca 0.000 0.000 0.000
Ca2 Ca 0.500 0.500 0.000
La1 La 0.000 0.500 0.265
La2 La 0.000 0.500 0.735
La3 La 0.500 0.000 0.265
La4 La 0.500 0.000 0.735
Y1 Y 0.000 0.000 0.500
Y2 Y 0.500 0.500 0.500
# Space group: Cmmm
# Magnetic moment (μB/f.u.): 0.00
# Distance to the lowest polymorph of the same formula (meV/atom): 70
# DOS at the Fermi energy (states/eV/atom): 1.729
# Total energy (eV/atom): -4.4867
# Volume (Å³/cell): 296.91

Entry 9:
# Ca2LaY (PBE-GGA, optimized geometry)
data_Ca2LaY
_chemical_formula_sum 'Ca2 La1 Y1'
_symmetry_space_group_name_H-M 'P 1'
_symmetry_Int_Tables_number 1
_cell_length_a 3.673
_cell_length_b 5.411
_cell_length_c 7.607
_cell_angle_alpha 90.00
_cell_angle_beta 90.00
_cell_angle_gamma 90.00
loop_
_symmetry_equiv_pos_as_xyz
'x,y,z'
loop_
_atom_site_label
_atom_site_type_symbol
_atom_site_fract_x
_atom_site_fract_y
_atom_site_fract_z
Ca1 Ca 0.000 0.000 0.000
Ca2 Ca 0.500 0.500 0.263
La1 La 0.000 0.000 0.528
Y1 Y 0.500 0.500 0.747
# Space group: Pmm2
# Magnetic moment (μB/f.u.): 0.00
# Distance to the lowest polymorph of the same formula (meV/atom): 52
# DOS at the Fermi energy (states/eV/atom): 1.761
# Total energy (eV/atom): -3.7552
# Volume (Å³/cell): 151.21

Entry 10:
# CaLa2Y (PBE-GGA, optimized geometry)
data_CaLa2Y
_chemical_formula_sum 'Ca2 La4 Y2'
_symmetry_space_group_name_H-M 'P 1'
_symmetry_Int_Tables_number 1
_cell_length_a 12.315
_cell_length_b 3.694
_cell_length_c 6.513
_cell_angle_alpha 90.00
_cell_angle_beta 99.63
_cell_angle_gamma 90.00
loop_
_symmetry_equiv_pos_as_xyz
'x,y,z'
loop_
_atom_site_label
_atom_site_type_symbol
_atom_site_fract_x
_atom_site_fract_y
_atom_site_fract_z
Ca1 Ca 0.000 0.000 0.000
Ca2 Ca 0.500 0.500 0.000
La1 La 0.246 0.000 0.736
La2 La 0.254 0.500 0.264
La3 La 0.746 0.500 0.736
La4 La 0.754 0.000 0.264
Y1 Y 0.000 0.500 0.500
Y2 Y 0.500 0.000 0.500
# Space group: C2/m
# Magnetic moment (μB/f.u.): 0.00
# Distance to the lowest polymorph of the same formula (meV/atom): 25
# DOS at the Fermi energy (states/eV/atom): 0.959
# Total energy (eV/atom): -4.5317
# Volume (Å³/cell): 292.10

Entry 11:
# CaLa2Y (PBE-GGA, optimized geometry)
data_CaLa2Y
_chemical_formula_sum 'Ca4 La8 Y4'
_symmetry_space_group_name_H-M 'P 1'
_symmetry_Int_Tables_number 1
_cell_length_a 8.408
_cell_length_b 8.408
_cell_length_c 8.408
_cell_angle_alpha 90.00
_cell_angle_beta 90.00
_cell_angle_gamma 90.00
loop_
_symmetry_equiv_pos_as_xyz
'x,y,z'
loop_
_atom_site_label
_atom_site_type_symbol
_atom_site_fract_x
_atom_site_fract_y
_atom_site_fract_z
Ca1 Ca 0.000 0.000 0.000
Ca2 Ca 0.000 0.500 0.500
Ca3 Ca 0.500 0.000 0.500
Ca4 Ca 0.500 0.500 0.000
La1 La 0.000 0.000 0.500
La2 La 0.000 0.500 0.000
La3 La 0.250 0.250 0.750
La4 La 0.250 0.750 0.250
La5 La 0.500 0.000 0.000
La6 La 0.500 0.500 0.500
La7 La 0.750 0.250 0.250
La8 La 0.750 0.750 0.750
Y1 Y 0.250 0.250 0.250
Y2 Y 0.250 0.750 0.750
Y3 Y 0.750 0.250 0.750
Y4 Y 0.750 0.750 0.250
# Space group: F-43m
# Magnetic moment (μB/f.u.): 0.70
# Distance to the lowest polymorph of the same formula (meV/atom): 125
# DOS at the Fermi energy (states/eV/atom): 1.951
# Total energy (eV/atom): -4.4319
# Volume (Å³/cell): 594.38

Entry 12:
# Ca2La2Y3 (PBE-GGA, optimized geometry)
data_Ca2La2Y3
_chemical_formula_sum 'Ca4 La4 Y6'
_symmetry_space_group_name_H-M 'P 1'
_symmetry_Int_Tables_number 1
_cell_length_a 5.467
_cell_length_b 25.814
_cell_length_c 3.576
_cell_angle_alpha 90.00
_cell_angle_beta 90.00
_cell_angle_gamma 90.00
loop_
_symmetry_equiv_pos_as_xyz
'x,y,z'
loop_
_atom_site_label
_atom_site_type_symbol
_atom_site_fract_x
_atom_site_fract_y
_atom_site_fract_z
Ca1 Ca 0.000 0.208 0.000
Ca2 Ca 0.000 0.792 0.000
Ca3 Ca 0.500 0.292 0.000
Ca4 Ca 0.500 0.708 0.000
La1 La 0.000 0.367 0.500
La2 La 0.000 0.633 0.500
La3 La 0.500 0.133 0.500
La4 La 0.500 0.867 0.500
Y1 Y 0.000 0.067 0.000
Y2 Y 0.000 0.500 0.500
Y3 Y 0.000 0.933 0.000
Y4 Y 0.500 0.000 0.500
Y5 Y 0.500 0.433 0.000
Y6 Y 0.500 0.567 0.000
# Space group: Cmmm
# Magnetic moment (μB/f.u.): 0.00
# DOS at the Fermi energy (states/eV/atom): 1.493
# Total energy (eV/atom): -4.6697
# Volume (Å³/cell): 504.63